[1]
LuUZnOs: optimized geometry, PBE.

Unit cell a=4.844 b=4.844 c=4.844 alpha=60.00 beta=60.00 gamma=60.00
Element x y z (fractional)
Lu 0.000 0.000 0.000
U 0.500 0.500 0.500
Zn 0.250 0.250 0.250
Os 0.750 0.750 0.750

## Properties
Magnetic moment in μB/cell: 1.893
Energy of formation from the pure elements in eV per formula unit: -0.17
Space group: F-43m (216)
V in Å³ per cell: 80.4

---

[2]
LuVOs: optimized geometry, PBE.

Unit cell a=5.680 b=5.680 c=5.680 alpha=147.75 beta=147.75 gamma=46.25
Element x y z (fractional)
Lu 0.000 0.000 0.000
V 0.692 0.692 0.000
Os 0.315 0.315 0.000

## Properties
Magnetic moment in μB/cell: 0.000
Energy of formation from the pure elements in eV per formula unit: -0.32
Space group: I4mm (107)
V in Å³ per cell: 52.0

---

[3]
YLu2Os: optimized geometry, PBE.

Unit cell a=3.355 b=3.355 c=8.999 alpha=90.00 beta=90.00 gamma=90.00
Element x y z (fractional)
Y 0.000 0.000 0.000
Lu 0.500 0.500 0.321
Lu 0.500 0.500 0.679
Os 0.000 0.000 0.500

## Properties
Magnetic moment in μB/cell: 0.000
Energy of formation from the pure elements in eV per formula unit: -0.81
Space group: P4/mmm (123)
V in Å³ per cell: 101.3

---

[4]
YLuOs: optimized geometry, PBE.

Unit cell a=6.863 b=6.863 c=6.863 alpha=151.52 beta=151.52 gamma=40.71
Element x y z (fractional)
Y 0.000 0.000 0.000
Lu 0.254 0.254 0.000
Os 0.631 0.631 0.000

## Properties
Energy above the lowest structure with this stoichiometry in meV/atom: 0.0
Magnetic moment in μB/cell: 0.000
Energy of formation from the pure elements in eV per formula unit: -0.81
Space group: I4mm (107)
V in Å³ per cell: 73.3

---

[5]
YLuOs: optimized geometry, PBE.

Unit cell a=4.742 b=4.742 c=4.742 alpha=60.00 beta=60.00 gamma=60.00
Element x y z (fractional)
Y 0.000 0.000 0.000
Lu 0.500 0.500 0.500
Os 0.250 0.250 0.250

## Properties
Energy above the lowest structure with this stoichiometry in meV/atom: 44.9
Magnetic moment in μB/cell: 0.000
Energy of formation from the pure elements in eV per formula unit: -0.68
Space group: F-43m (216)
V in Å³ per cell: 75.4

---

[6]
LuZn4Os: optimized geometry, PBE.

Unit cell a=5.059 b=5.059 c=5.059 alpha=60.00 beta=60.00 gamma=60.00
Element x y z (fractional)
Lu 0.000 0.000 0.000
Zn 0.129 0.624 0.624
Zn 0.624 0.129 0.624
Zn 0.624 0.624 0.129
Zn 0.624 0.624 0.624
Os 0.250 0.250 0.250

## Properties
Magnetic moment in μB/cell: 0.000
Energy of formation from the pure elements in eV per formula unit: -1.24
Space group: F-43m (216)
V in Å³ per cell: 91.5

---

[7]
LuZr2Os: optimized geometry, PBE.

Unit cell a=4.849 b=4.849 c=4.849 alpha=60.00 beta=60.00 gamma=60.00
Element x y z (fractional)
Lu 0.000 0.000 0.000
Zr 0.250 0.250 0.250
Zr 0.750 0.750 0.750
Os 0.500 0.500 0.500

## Properties
Energy above the lowest structure with this stoichiometry in meV/atom: 62.2
Magnetic moment in μB/cell: 0.000
Energy of formation from the pure elements in eV per formula unit: -0.23
Space group: Fm-3m (225)
V in Å³ per cell: 80.6

---

[8]
LuZrOs4: optimized geometry, PBE.

Unit cell a=5.276 b=5.276 c=5.276 alpha=60.00 beta=60.00 gamma=60.00
Element x y z (fractional)
Lu 0.000 0.000 0.000
Zr 0.750 0.750 0.750
Os 0.375 0.375 0.375
Os 0.375 0.375 0.875
Os 0.375 0.875 0.375
Os 0.875 0.375 0.375

## Properties
Magnetic moment in μB/cell: 0.000
Energy of formation from the pure elements in eV per formula unit: -1.99
Space group: F-43m (216)
V in Å³ per cell: 103.9

---

[9]
LuZr2Os: optimized geometry, PBE.

Unit cell a=3.289 b=3.289 c=8.073 alpha=90.00 beta=90.00 gamma=90.00
Element x y z (fractional)
Lu 0.000 0.000 0.000
Zr 0.500 0.500 0.298
Zr 0.500 0.500 0.702
Os 0.000 0.000 0.500

## Properties
Energy above the lowest structure with this stoichiometry in meV/atom: 0.0
Magnetic moment in μB/cell: 1.422
Energy of formation from the pure elements in eV per formula unit: -0.48
Space group: P4/mmm (123)
V in Å³ per cell: 87.3

---

[10]
LuZrOs2: optimized geometry, PBE.

Unit cell a=3.304 b=3.304 c=6.658 alpha=90.00 beta=90.00 gamma=90.00
Element x y z (fractional)
Lu 0.000 0.000 0.000
Zr 0.000 0.000 0.500
Os 0.500 0.500 0.261
Os 0.500 0.500 0.739

## Properties
Magnetic moment in μB/cell: 0.000
Energy of formation from the pure elements in eV per formula unit: -1.64
Space group: P4/mmm (123)
V in Å³ per cell: 72.7

---

[11]
Lu2ZrOs: optimized geometry, PBE.

Unit cell a=3.332 b=3.332 c=8.130 alpha=90.00 beta=90.00 gamma=90.00
Element x y z (fractional)
Lu 0.000 0.000 0.200
Lu 0.000 0.000 0.800
Zr 0.500 0.500 0.500
Os 0.500 0.500 0.000

## Properties
Magnetic moment in μB/cell: 0.000
Energy of formation from the pure elements in eV per formula unit: -0.49
Space group: P4/mmm (123)
V in Å³ per cell: 90.3

---

[12]
LuP5: optimized geometry, PBE.

Unit cell a=4.904 b=9.323 c=5.297 alpha=90.00 beta=102.42 gamma=90.00
Element x y z (fractional)
Lu 0.002 0.250 0.347
Lu 0.998 0.750 0.653
P 0.269 0.250 0.890
P 0.282 0.528 0.406
P 0.282 0.972 0.406
P 0.383 0.594 0.043
P 0.383 0.906 0.043
P 0.617 0.094 0.957
P 0.617 0.406 0.957
P 0.718 0.028 0.594
P 0.718 0.472 0.594
P 0.731 0.750 0.110

## Properties
Magnetic moment in μB/cell: 0.000
Energy of formation from the pure elements in eV per formula unit: -3.04
Space group: P2_1/m (11)
V in Å³ per cell: 236.5

---

[13]
Lu3P: optimized geometry, PBE.

Unit cell a=5.864 b=5.864 c=5.864 alpha=143.98 beta=73.98 gamma=117.85
Element x y z (fractional)
Lu 0.000 0.000 0.000
Lu 0.334 0.527 0.808
Lu 0.719 0.527 0.192
P 0.323 0.823 0.500

## Properties
Magnetic moment in μB/cell: 0.000
Energy of formation from the pure elements in eV per formula unit: -2.33
Space group: Imm2 (44)
V in Å³ per cell: 102.8

---

[14]
LuP: optimized geometry, PBE.

Unit cell a=3.915 b=3.915 c=3.915 alpha=60.00 beta=60.00 gamma=60.00
Element x y z (fractional)
Lu 0.000 0.000 0.000
P 0.500 0.500 0.500

## Properties
Magnetic moment in μB/cell: 0.000
Energy of formation from the pure elements in eV per formula unit: -3.17
Space group: Fm-3m (225)
V in Å³ per cell: 42.4

---

[15]
LuPaP: optimized geometry, PBE.

Unit cell a=4.600 b=4.600 c=3.749 alpha=90.00 beta=90.00 gamma=120.00
Element x y z (fractional)
Lu 0.000 0.000 0.000
Pa 0.667 0.333 0.493
P 0.333 0.667 0.120

## Properties
Magnetic moment in μB/cell: 0.002
Energy of formation from the pure elements in eV per formula unit: -0.72
Space group: P3m1 (156)
V in Å³ per cell: 68.7

---

[16]
Lu2PaP: optimized geometry, PBE.

Unit cell a=10.179 b=10.179 c=10.179 alpha=19.69 beta=19.69 gamma=19.69
Element x y z (fractional)
Lu 0.110 0.110 0.110
Lu 0.890 0.890 0.890
Pa 0.000 0.000 0.000
P 0.500 0.500 0.500

## Properties
Magnetic moment in μB/cell: 0.006
Energy of formation from the pure elements in eV per formula unit: -1.01
Space group: R-3m (166)
V in Å³ per cell: 104.7

---

[17]
LuPaP2: optimized geometry, PBE.

Unit cell a=6.802 b=6.802 c=6.802 alpha=33.67 beta=33.67 gamma=33.67
Element x y z (fractional)
Lu 0.000 0.000 0.000
Pa 0.500 0.500 0.500
P 0.251 0.251 0.251
P 0.749 0.749 0.749

## Properties
Magnetic moment in μB/cell: 0.000
Energy of formation from the pure elements in eV per formula unit: -5.72
Space group: R-3m (166)
V in Å³ per cell: 86.2

---

[18]
Lu2PPb: optimized geometry, PBE.

Unit cell a=8.054 b=8.054 c=8.054 alpha=27.67 beta=27.67 gamma=27.67
Element x y z (fractional)
Lu 0.232 0.232 0.232
Lu 0.768 0.768 0.768
P 0.500 0.500 0.500
Pb 0.000 0.000 0.000

## Properties
Magnetic moment in μB/cell: 0.000
Energy of formation from the pure elements in eV per formula unit: -4.01
Space group: R-3m (166)
V in Å³ per cell: 99.5

---

[19]
Lu3P6Pd20: optimized geometry, PBE.

Unit cell a=8.639 b=8.639 c=8.639 alpha=60.00 beta=60.00 gamma=60.00
Element x y z (fractional)
Lu 0.000 0.000 0.000
Lu 0.250 0.250 0.250
Lu 0.750 0.750 0.750
P 0.264 0.264 0.736
P 0.264 0.736 0.264
P 0.264 0.736 0.736
P 0.736 0.264 0.264
P 0.736 0.264 0.736
P 0.736 0.736 0.264
Pd 0.000 0.000 0.344
Pd 0.000 0.000 0.656
Pd 0.000 0.344 0.000
Pd 0.000 0.344 0.656
Pd 0.000 0.656 0.000
Pd 0.000 0.656 0.344
Pd 0.150 0.617 0.617
Pd 0.344 0.000 0.000
Pd 0.344 0.000 0.656
Pd 0.344 0.656 0.000
Pd 0.383 0.383 0.383
Pd 0.383 0.383 0.850
Pd 0.383 0.850 0.383
Pd 0.617 0.150 0.617
Pd 0.617 0.617 0.150
Pd 0.617 0.617 0.617
Pd 0.656 0.000 0.000
Pd 0.656 0.000 0.344
Pd 0.656 0.344 0.000
Pd 0.850 0.383 0.383

## Properties
Magnetic moment in μB/cell: 0.001
Energy of formation from the pure elements in eV per formula unit: -21.05
Space group: Fm-3m (225)
V in Å³ per cell: 455.8

---

[20]
PrLu2P: optimized geometry, PBE.

Unit cell a=10.429 b=10.429 c=10.429 alpha=20.24 beta=20.24 gamma=20.24
Element x y z (fractional)
Pr 0.000 0.000 0.000
Lu 0.114 0.114 0.114
Lu 0.886 0.886 0.886
P 0.500 0.500 0.500

## Properties
Magnetic moment in μB/cell: 0.000
Energy of formation from the pure elements in eV per formula unit: -2.11
Space group: R-3m (166)
V in Å³ per cell: 118.8